The following is a DFT calculation (PBE with a Hubbard U) of crystalline YCuW2O8 at its relaxed geometry.

a b c (Å): 6.049 5.081 11.041
angles (deg): 65.46 90.00 90.00
Element x y z (fractional)
Y  0.661  0.500  0.750
Y  0.339  0.500  0.250
Cu  0.274  0.000  0.750
Cu  0.726  0.000  0.250
W  0.167  0.738  0.512
W  0.167  0.262  0.988
W  0.833  0.262  0.488
W  0.833  0.738  0.012
O  0.354  0.229  0.863
O  0.354  0.771  0.637
O  0.646  0.771  0.137
O  0.646  0.229  0.363
O  0.912  0.662  0.390
O  0.912  0.338  0.110
O  0.088  0.338  0.610
O  0.088  0.662  0.890
O  0.636  0.717  0.890
O  0.636  0.283  0.610
O  0.364  0.283  0.110
O  0.364  0.717  0.390
O  0.886  0.160  0.903
O  0.114  0.840  0.097
O  0.886  0.840  0.597
O  0.114  0.160  0.403

Output
- SG = P2/c (13)
- DFT total energy (eV per atom) = -7.513
- calculated density (g cm⁻³) = 6.97